1.
CuSiAg (PBE-GGA, optimized geometry); crystal system = cubic; raw formation energy = 21.0 kJ/mol of atoms; energy above the lowest structure with this stoichiometry = 0.030 eV per atom
1.0
4.120 0.000 0.000
2.060 3.568 0.000
2.060 1.189 3.364
Ag Cu Si
1 1 1
Cartesian
0.000 0.000 0.000 Ag
4.120 2.378 1.682 Cu
6.179 3.568 2.523 Si

2.
MgCd2Pt (PBE-GGA, optimized geometry); crystal system = tetragonal; E_form = -0.346 eV per atom
1.0
-2.541 0.980 -3.118
2.336 -2.216 -2.600
-2.394 -3.516 0.846
Mg Pt Cd
1 1 2
Cartesian
-2.468 -1.268 -1.136 Mg
-0.029 -2.866 -0.877 Pt
0.000 0.000 0.000 Cd
-0.102 -0.618 -2.859 Cd

3.
CaYBr2 (PBE-GGA, optimized geometry); crystal system = orthorhombic; raw formation energy = -97.3 kJ/mol of atoms; energy above the lowest structure with this stoichiometry = 0.243 eV per atom
1.0
-1.468 -3.113 -1.291
3.302 0.928 -5.995
3.730 -2.453 1.675
Y Ca Br
1 1 2
Cartesian
3.516 -0.762 -2.160 Y
1.131 -2.783 0.192 Ca
0.000 0.000 0.000 Br
0.917 -1.092 -3.643 Br

4.
CsU2Se2S (PBE-GGA, optimized geometry); crystal system = tetragonal; raw formation energy = -93.3 kJ/mol of atoms
1.0
5.116 0.000 0.000
0.000 5.116 0.000
0.000 0.000 7.951
Cs U Se S
1 2 2 1
Cartesian
0.000 0.000 3.975 Cs
2.558 0.000 0.000 U
0.000 2.558 0.000 U
2.558 2.558 6.200 Se
2.558 2.558 1.751 Se
0.000 0.000 0.000 S

DOS(E_F) values (in states/eV/atom) by entry order: 0.836 0.394 0.773 1.259.
Total magnetic moment values (in μB/cell) by entry order: 0.00 0.00 0.00 5.89.